Entry 1:
Compound: RbTe3As
Source: Alexandria via LeMat-Bulk
Functional: PBE
Structure: relaxed

Lattice parameters (Å, degrees): 7.178 7.178 7.178 80.17 80.17 80.17
Element x y z (fractional)
Te 0.104 0.793 0.314
Te 0.293 0.604 0.814
Rb 0.763 0.763 0.763
As 0.998 0.998 0.998
Te 0.814 0.293 0.604
Rb 0.263 0.263 0.263
Te 0.604 0.814 0.293
Te 0.793 0.314 0.104
Te 0.314 0.104 0.793
As 0.498 0.498 0.498

Values from the calculation:
Crystal system ... trigonal
Uncorrected energy ... -3.242 eV/atom
Size of the total moment ... 0.0 Bohr magnetons per cell
Excess energy over the best structure of this formula in the dataset ... 0.042 eV per atom
Formation energy (no corrections) ... -234 meV per atom


Entry 2:
Compound: Tl2PbBr
Source: Alexandria via LeMat-Bulk
Functional: PBE
Structure: relaxed

Lattice parameters (Å, degrees): 5.597 5.597 5.597 60.00 60.00 60.00
Element x y z (fractional)
Pb 0.750 0.750 0.750
Br 0.500 0.500 0.500
Tl 0.000 0.000 0.000
Tl 0.250 0.250 0.250

Values from the calculation:
Crystal system ... cubic
Uncorrected energy ... -2.622 eV/atom
Size of the total moment ... 0.0 Bohr magnetons per cell
Excess energy over the best structure of this formula in the dataset ... 0.181 eV per atom
Formation energy (no corrections) ... -94 meV per atom


Entry 3:
Compound: Sr2HoTcO6
Source: Alexandria via LeMat-Bulk
Functional: PBE
Structure: relaxed

Lattice parameters (Å, degrees): 5.810 5.873 8.242 90.00 90.29 90.00
Element x y z (fractional)
O 0.271 0.700 0.038
Sr 0.508 0.535 0.750
Tc 0.500 0.000 0.500
O 0.302 0.728 0.460
O 0.729 0.300 0.962
O 0.771 0.800 0.538
O 0.427 0.981 0.735
O 0.927 0.519 0.235
O 0.802 0.772 0.960
Sr 0.008 0.965 0.250
Sr 0.492 0.465 0.250
O 0.229 0.200 0.462
Ho 0.000 0.500 0.500
Ho 0.500 0.000 0.000
O 0.698 0.272 0.540
Tc 0.000 0.500 0.000
O 0.573 0.019 0.265
Sr 0.992 0.035 0.750
O 0.073 0.481 0.765
O 0.198 0.228 0.040

Values from the calculation:
Crystal system ... monoclinic
Uncorrected energy ... -7.410 eV/atom
Size of the total moment ... 4.0 Bohr magnetons per cell
Formation energy (no corrections) ... -2604 meV per atom


Entry 4:
Compound: Pm2Cu3TcGe4
Source: Alexandria via LeMat-Bulk
Functional: PBE
Structure: relaxed

Lattice parameters (Å, degrees): 4.128 4.128 10.510 90.00 90.00 90.00
Element x y z (fractional)
Ge 0.000 0.500 0.365
Ge 0.500 0.500 0.000
Cu 0.000 0.000 0.500
Ge 0.500 0.000 0.635
Cu 0.000 0.500 0.133
Pm 0.000 0.500 0.754
Cu 0.500 0.000 0.867
Pm 0.500 0.000 0.246
Ge 0.000 0.000 0.000
Tc 0.500 0.500 0.500

Values from the calculation:
Crystal system ... tetragonal
Uncorrected energy ... -5.517 eV/atom
Size of the total moment ... 0.0 Bohr magnetons per cell
Formation energy ... -0.45 eV/atom


Entry 5:
Compound: Hg5Se3
Source: Alexandria via LeMat-Bulk
Functional: PBE
Structure: relaxed

Lattice parameters (Å, degrees): 4.064 4.064 14.393 90.00 90.00 90.00
Element x y z (fractional)
Hg 0.000 0.000 0.217
Se 0.000 0.000 0.500
Se 0.500 0.500 0.226
Hg 0.500 0.500 0.594
Hg 0.000 0.000 0.783
Se 0.500 0.500 0.774
Hg 0.000 0.000 0.000
Hg 0.500 0.500 0.406

Values from the calculation:
Crystal system ... tetragonal
Uncorrected energy ... -1.485 eV/atom
Size of the total moment ... 0.0 Bohr magnetons per cell
Excess energy over the best structure of this formula in the dataset ... 0.026 eV per atom
Formation energy (no corrections) ... 11 meV per atom


Entry 6:
Compound: Ta3IrW
Source: Alexandria via LeMat-Bulk
Functional: PBE
Structure: relaxed

Lattice parameters (Å, degrees): 4.771 4.771 4.771 90.00 90.00 90.00
Element x y z (fractional)
Ta 0.000 0.500 0.000
Ir 0.500 0.500 0.500
Ta 0.500 0.000 0.000
Ta 0.000 0.000 0.500
W 0.000 0.000 0.000

Values from the calculation:
Crystal system ... cubic
Uncorrected energy ... -9.717 eV/atom
Size of the total moment ... 0.0 Bohr magnetons per cell
Excess energy over the best structure of this formula in the dataset ... 0.291 eV per atom
Formation energy ... 1.76 eV/atom


Entry 7:
Compound: BaRu4O12
Source: Alexandria via LeMat-Bulk
Functional: PBE
Structure: relaxed

Lattice parameters (Å, degrees): 6.677 6.677 6.677 109.47 109.47 109.47
Element x y z (fractional)
O 0.000 0.249 0.751
O 0.502 0.751 0.751
Ru 0.500 0.000 0.000
O 0.751 0.751 0.502
O 0.249 0.000 0.751
O 0.249 0.249 0.498
O 0.751 0.502 0.751
Ru 0.500 0.500 0.500
O 0.249 0.751 0.000
Ba 0.000 0.000 0.000
O 0.498 0.249 0.249
Ru 0.000 0.500 0.000
O 0.000 0.751 0.249
O 0.751 0.000 0.249
Ru 0.000 0.000 0.500
O 0.249 0.498 0.249
O 0.751 0.249 0.000

Values from the calculation:
Crystal system ... cubic
Uncorrected energy ... -6.733 eV/atom
Size of the total moment ... 0.0 Bohr magnetons per cell
Formation energy (no corrections) ... -938 meV per atom


Entry 8:
Compound: SrLiCa2Ir
Source: Alexandria via LeMat-Bulk
Functional: PBE
Structure: relaxed

Lattice parameters (Å, degrees): 5.558 5.558 5.861 90.00 90.00 90.00
Element x y z (fractional)
Ir 0.000 0.000 0.000
Ca 0.500 0.000 0.000
Sr 0.000 0.000 0.500
Ca 0.000 0.500 0.000
Li 0.500 0.500 0.500

Values from the calculation:
Crystal system ... tetragonal
Uncorrected energy ... -3.417 eV/atom
Size of the total moment ... 0.0 Bohr magnetons per cell
Excess energy over the best structure of this formula in the dataset ... 0.000 eV per atom
Formation energy ... -0.12 eV/atom


Entry 9:
Compound: RbCoMoCl6
Source: Alexandria via LeMat-Bulk
Functional: PBE
Structure: relaxed

Lattice parameters (Å, degrees): 6.419 6.410 7.444 90.18 90.09 60.05
Element x y z (fractional)
Cl 0.001 0.625 0.689
Mo 0.333 0.334 0.500
Rb 0.001 0.000 0.000
Cl 0.631 0.368 0.687
Co 0.666 0.667 0.500
Cl 0.368 0.000 0.686
Cl 0.369 0.631 0.314
Cl 0.631 0.001 0.313
Cl 0.001 0.374 0.311

Values from the calculation:
Crystal system ... monoclinic
Uncorrected energy ... -4.329 eV/atom
Size of the total moment ... 5.8 Bohr magnetons per cell
Formation energy (no corrections) ... -997 meV per atom


Entry 10:
Compound: Th8Co2Mo
Source: Alexandria via LeMat-Bulk
Functional: PBE
Structure: relaxed

Lattice parameters (Å, degrees): 5.916 7.766 7.766 117.39 100.09 100.09
Element x y z (fractional)
Th 0.582 0.344 0.103
Th 0.000 0.783 0.221
Th 0.000 0.221 0.783
Th 0.417 0.904 0.662
Co 0.501 0.285 0.723
Th 0.177 0.377 0.377
Th 0.417 0.662 0.904
Mo 0.002 0.003 0.003
Th 0.582 0.103 0.344
Th 0.823 0.629 0.629
Co 0.501 0.723 0.285

Values from the calculation:
Crystal system ... monoclinic
Uncorrected energy ... -7.640 eV/atom
Size of the total moment ... 0.0 Bohr magnetons per cell
Formation energy ... 0.03 eV/atom


Entry 11:
Compound: MgUPb
Source: Alexandria via LeMat-Bulk
Functional: PBE
Structure: relaxed

Lattice parameters (Å, degrees): 5.940 5.987 8.726 76.88 90.00 90.00
Element x y z (fractional)
U 0.153 0.870 0.070
Pb 0.631 0.823 0.258
U 0.653 0.630 0.930
U 0.847 0.130 0.930
Mg 0.249 0.007 0.428
Pb 0.369 0.177 0.742
Mg 0.251 0.507 0.428
Mg 0.751 0.993 0.572
U 0.347 0.370 0.070
Pb 0.131 0.677 0.742
Pb 0.869 0.323 0.258
Mg 0.749 0.493 0.572

Values from the calculation:
Crystal system ... monoclinic
Uncorrected energy ... -5.323 eV/atom
Size of the total moment ... 8.4 Bohr magnetons per cell
Formation energy ... 0.21 eV/atom


Entry 12:
Compound: Mg2ZrTl
Source: Alexandria via LeMat-Bulk
Functional: PBE
Structure: relaxed

Lattice parameters (Å, degrees): 5.500 5.500 5.500 132.24 132.24 69.86
Element x y z (fractional)
Tl 0.500 0.500 0.000
Zr 0.750 0.250 0.500
Mg 0.000 0.000 0.000
Mg 0.250 0.750 0.500

Values from the calculation:
Crystal system ... tetragonal
Uncorrected energy ... -3.473 eV/atom
Size of the total moment ... 0.0 Bohr magnetons per cell
Excess energy over the best structure of this formula in the dataset ... 0.162 eV per atom
Formation energy ... 0.05 eV/atom